The following is a DFT calculation (GGA-PBE) of a relaxed CaLa2Si crystal.

As for the uncorrected energy: -4.59 eV per atom. The calculated volume is 32.39 Å³/atom.

The space group is P4/mmm (No. 123) and the conventional cell measures 3.947, 3.947 and 8.317 Å, with angles of 90.00, 90.00 and 90.00 degrees. The distinct sites, in fractional coordinates, are Ca at (0.000, 0.000, 0.000), La at (0.500, 0.500, 0.322) and Si at (0.000, 0.000, 0.500).

***

The following is a DFT calculation (GGA-PBE) of a relaxed CaLaSi3 crystal.

As for the uncorrected energy: -5.25 eV per atom. Its offset from the most stable computed form is 0 meV per atom. The calculated volume is 22.38 Å³/atom.

The space group is Cmcm (No. 63) and the conventional cell measures 4.492, 25.007 and 3.984 Å, with angles of 90.00, 90.00 and 90.00 degrees. The distinct sites, in fractional coordinates, are Ca at (0.000, 0.203, 0.250), La at (0.000, 0.071, 0.750), Si at (0.000, 0.326, 0.250), Si at (0.000, 0.381, 0.750) and Si at (0.000, 0.476, 0.750).

***

The following is a DFT calculation (GGA-PBE) of a relaxed CaLa2Si crystal.

As for the uncorrected energy: -4.48 eV per atom. The calculated volume is 28.41 Å³/atom.

The space group is I4/mmm (No. 139) and the conventional cell measures 4.780, 4.780 and 9.946 Å, with angles of 90.00, 90.00 and 90.00 degrees. The distinct sites, in fractional coordinates, are Ca at (0.000, 0.000, 0.000), La at (0.000, 0.500, 0.250) and Si at (0.000, 0.000, 0.500).

***

The following is a DFT calculation (GGA-PBE) of a relaxed CaLa2Si crystal.

As for the uncorrected energy: -4.54 eV per atom. The calculated volume is 30.87 Å³/atom.

The space group is Immm (No. 71) and the conventional cell measures 4.077, 5.241 and 11.560 Å, with angles of 90.00, 90.00 and 90.00 degrees. The distinct sites, in fractional coordinates, are Ca at (0.000, 0.000, 0.000), La at (0.000, 0.500, 0.201) and Si at (0.000, 0.000, 0.500).

***

The following is a DFT calculation (GGA-PBE) of a relaxed Ca2LaSi6 crystal.

As for the uncorrected energy: -5.02 eV per atom. The calculated volume is 20.98 Å³/atom.

The space group is P6/mmm (No. 191) and the conventional cell measures 7.0864, 7.0864 and 4.3418 Å, with angles of 90.00, 90.00 and 120.00 degrees. The distinct sites, in fractional coordinates, are Ca at (0.3333, 0.6667, 0.0000), La at (0.0000, 0.0000, 0.0000) and Si at (0.0000, 0.3342, 0.5000).

***

The following is a DFT calculation (GGA-PBE) of a relaxed CaLa2Si crystal.

As for the uncorrected energy: -4.25 eV per atom. The calculated volume is 28.18 Å³/atom.

The space group is F-43m (No. 216) and the conventional cell measures 7.668, 7.668 and 7.668 Å, with angles of 90.00, 90.00 and 90.00 degrees. The distinct sites, in fractional coordinates, are Ca at (0.000, 0.000, 0.000), La at (0.000, 0.000, 0.500), La at (0.250, 0.250, 0.750) and Si at (0.250, 0.250, 0.250).

***

Number 1: formation energy (no corrections) -0.27 eV/atom. Number 2: formation energy (no corrections) -0.61 eV/atom. Number 3: formation energy (no corrections) -0.16 eV/atom. Number 4: formation energy (no corrections) -0.22 eV/atom. Number 5: formation energy (no corrections) -0.41 eV/atom. Number 6: formation energy (no corrections) 0.07 eV/atom.